# 1
! SnTe2Ru GGA-PBE optimized geometry; values from VASP
&SYSTEM
  ibrav = 0, nat = 8, ntyp = 3
/
ATOMIC_SPECIES
Sn 118.71 Sn.upf
Te 127.60 Te.upf
Ru 101.07 Ru.upf
CELL_PARAMETERS angstrom
-3.3236 3.3236 5.9103
3.3236 -3.3236 5.9103
3.3236 3.3236 -5.9103
ATOMIC_POSITIONS angstrom
Sn 0.0000 0.0000 0.0000
Sn 0.0000 3.3236 2.9551
Te 1.6618 -1.2444 4.4327
Te 2.0792 1.6618 1.4776
Te 1.6618 4.5679 -1.4776
Te 1.2444 1.6618 7.3878
Ru 3.3236 0.0000 2.9551
Ru 0.0000 0.0000 5.9103
! ΔE_f (raw) (eV/atom): 0.171

***

# 2
! Ba2NaMgAu GGA-PBE optimized geometry; values from VASP
&SYSTEM
  ibrav = 0, nat = 5, ntyp = 4
/
ATOMIC_SPECIES
Ba 137.33 Ba.upf
Na 22.99 Na.upf
Mg 24.30 Mg.upf
Au 196.97 Au.upf
CELL_PARAMETERS angstrom
6.4405 0.0000 0.0000
0.0000 6.4405 0.0000
0.0000 0.0000 5.3160
ATOMIC_POSITIONS angstrom
Ba 0.0000 3.2202 0.0000
Ba 3.2202 0.0000 0.0000
Na 0.0000 0.0000 2.6580
Mg 3.2202 3.2202 2.6580
Au 3.2202 3.2202 0.0000
! Formation enthalpy at 0 K (meV/atom): -280

***

# 3
! TbDy3Y2P6 GGA-PBE optimized geometry; values from VASP
&SYSTEM
  ibrav = 0, nat = 12, ntyp = 4
/
ATOMIC_SPECIES
Tb 158.93 Tb.upf
Dy 162.50 Dy.upf
Y 88.91 Y.upf
P 30.97 P.upf
CELL_PARAMETERS angstrom
3.4753 -6.0185 0.0000
3.4753 6.0185 0.0000
-2.3139 0.0000 6.5542
ATOMIC_POSITIONS angstrom
Tb 0.0000 0.0000 0.0000
Dy 2.3184 4.0134 3.2771
Dy 2.3184 0.0000 3.2771
Dy 2.3184 -4.0134 3.2771
Y 3.4753 2.0064 0.0000
Y 3.4753 -2.0064 0.0000
P 1.1603 2.0080 1.6445
P 0.0045 0.0000 4.9105
P 1.1603 -2.0080 1.6445
P 3.4765 2.0080 4.9097
P 4.6323 0.0000 1.6437
P 3.4765 -2.0080 4.9097
! Formation enthalpy at 0 K (meV/atom): -1619

***

# 4
! LaBe2Os GGA-PBE optimized geometry; values from VASP
&SYSTEM
  ibrav = 0, nat = 4, ntyp = 3
/
ATOMIC_SPECIES
La 138.91 La.upf
Be 9.01 Be.upf
Os 190.23 Os.upf
CELL_PARAMETERS angstrom
-1.9250 2.3104 3.6569
1.9250 -2.3104 3.6569
1.9250 2.3104 -3.6569
ATOMIC_POSITIONS angstrom
La 0.0000 0.0000 0.0000
Be 1.9250 0.0000 2.0792
Be 0.0000 2.3104 1.5776
Os 0.0000 0.0000 3.6569
! Formation enthalpy at 0 K (meV/atom): 288

***

# 5
! LiPmTlSn GGA-PBE optimized geometry; values from VASP
&SYSTEM
  ibrav = 0, nat = 4, ntyp = 4
/
ATOMIC_SPECIES
Li 6.94 Li.upf
Pm 145.00 Pm.upf
Tl 204.38 Tl.upf
Sn 118.71 Sn.upf
CELL_PARAMETERS angstrom
0.0000 3.7208 3.7208
3.7208 0.0000 3.7208
3.7208 3.7208 0.0000
ATOMIC_POSITIONS angstrom
Li 0.0000 0.0000 0.0000
Pm 3.7208 3.7208 3.7208
Tl 5.5813 5.5813 5.5813
Sn 1.8604 1.8604 1.8604
! Formation enthalpy at 0 K (meV/atom): -400

***

# 6
! Li2SmMnTe4 GGA-PBE optimized geometry; values from VASP
&SYSTEM
  ibrav = 0, nat = 8, ntyp = 4
/
ATOMIC_SPECIES
Li 6.94 Li.upf
Sm 150.36 Sm.upf
Mn 54.94 Mn.upf
Te 127.60 Te.upf
CELL_PARAMETERS angstrom
7.3319 0.0000 0.0000
0.0000 4.2407 0.0000
-2.3669 0.0000 6.9430
ATOMIC_POSITIONS angstrom
Li 0.0000 0.0000 0.0000
Li 3.6659 2.1203 0.0000
Sm -1.1835 2.1203 3.4715
Mn 2.4825 0.0000 3.4715
Te 0.2220 0.0000 5.2428
Te 1.4224 2.1203 1.7915
Te 3.5425 2.1203 5.1515
Te 4.7430 0.0000 1.7002
! ΔE_f (raw) (eV/atom): -0.827

***

# 7
! LiBeGeAu GGA-PBE optimized geometry; values from VASP
&SYSTEM
  ibrav = 0, nat = 4, ntyp = 4
/
ATOMIC_SPECIES
Li 6.94 Li.upf
Be 9.01 Be.upf
Ge 72.64 Ge.upf
Au 196.97 Au.upf
CELL_PARAMETERS angstrom
0.0000 3.0277 3.0277
3.0277 0.0000 3.0277
3.0277 3.0277 0.0000
ATOMIC_POSITIONS angstrom
Li 0.0000 0.0000 0.0000
Be 3.0277 3.0277 3.0277
Ge 1.5138 1.5138 1.5138
Au 4.5415 4.5415 4.5415
! Formation enthalpy at 0 K (meV/atom): -104

***

# 8
! LaCeNCl GGA-PBE optimized geometry; values from VASP
&SYSTEM
  ibrav = 0, nat = 4, ntyp = 4
/
ATOMIC_SPECIES
La 138.91 La.upf
Ce 140.12 Ce.upf
N 14.01 N.upf
Cl 35.45 Cl.upf
CELL_PARAMETERS angstrom
3.1596 -1.8271 0.0000
3.1596 1.8271 0.0000
-2.1077 0.0000 7.3544
ATOMIC_POSITIONS angstrom
La 0.0000 0.0000 0.0000
Ce 4.2124 0.0000 2.7906
N 2.1064 0.0000 1.4897
Cl 0.0015 0.0000 5.0207
! ΔE_f (raw) (eV/atom): -1.537

***

# 9
! Li3TiTc GGA-PBE optimized geometry; values from VASP
&SYSTEM
  ibrav = 0, nat = 5, ntyp = 3
/
ATOMIC_SPECIES
Li 6.94 Li.upf
Ti 47.87 Ti.upf
Tc 98.00 Tc.upf
CELL_PARAMETERS angstrom
4.4560 0.0000 0.0000
0.0000 4.4560 0.0000
0.0000 0.0000 4.4560
ATOMIC_POSITIONS angstrom
Li 0.0000 0.0000 2.2280
Li 0.0000 2.2280 0.0000
Li 2.2280 0.0000 0.0000
Ti 2.2280 2.2280 2.2280
Tc 0.0000 0.0000 0.0000
! Formation enthalpy at 0 K (meV/atom): 1320

***

# 10
! TmMgCuPt GGA-PBE optimized geometry; values from VASP
&SYSTEM
  ibrav = 0, nat = 4, ntyp = 4
/
ATOMIC_SPECIES
Tm 168.93 Tm.upf
Mg 24.30 Mg.upf
Cu 63.55 Cu.upf
Pt 195.08 Pt.upf
CELL_PARAMETERS angstrom
0.0000 3.3166 3.3166
3.3166 0.0000 3.3166
3.3166 3.3166 0.0000
ATOMIC_POSITIONS angstrom
Tm 0.0000 0.0000 0.0000
Mg 3.3166 3.3166 3.3166
Cu 4.9749 4.9749 4.9749
Pt 1.6583 1.6583 1.6583
! Formation enthalpy at 0 K (meV/atom): -683

***

# 11
! TaZn2Ru GGA-PBE optimized geometry; values from VASP
&SYSTEM
  ibrav = 0, nat = 4, ntyp = 3
/
ATOMIC_SPECIES
Ta 180.95 Ta.upf
Zn 65.41 Zn.upf
Ru 101.07 Ru.upf
CELL_PARAMETERS angstrom
3.2666 0.0000 0.0000
0.0000 3.2666 0.0000
0.0000 0.0000 5.6089
ATOMIC_POSITIONS angstrom
Ta 0.0000 0.0000 0.0000
Zn 1.6333 1.6333 1.5187
Zn 1.6333 1.6333 4.0902
Ru 0.0000 0.0000 2.8044
! Formation enthalpy at 0 K (meV/atom): 68

***

# 12
! K3UBi3Se8 GGA-PBE optimized geometry; values from VASP
&SYSTEM
  ibrav = 0, nat = 15, ntyp = 4
/
ATOMIC_SPECIES
K 39.10 K.upf
U 238.03 U.upf
Bi 208.98 Bi.upf
Se 78.96 Se.upf
CELL_PARAMETERS angstrom
4.2721 2.4665 7.8833
-4.2721 2.4665 7.8833
0.0000 -4.9329 7.8833
ATOMIC_POSITIONS angstrom
K -2.1360 -1.2332 7.8833
K -2.1360 1.2332 15.7666
K 0.0000 2.4665 7.8833
U 0.0000 0.0000 11.8250
Bi -4.2721 0.0000 11.8249
Bi -2.1360 1.2332 3.9416
Bi 2.1360 1.2332 3.9417
Se 0.0000 0.0000 5.6125
Se -2.0572 -1.1877 13.4216
Se 0.0000 -2.3755 10.2283
Se -2.0572 1.1877 10.2283
Se 2.0572 -1.1877 13.4217
Se 0.0000 2.3755 13.4217
Se 2.0572 1.1877 10.2283
Se 0.0000 0.0000 18.0374
! ΔE_f (raw) (eV/atom): -0.878

***

# 13
! ReSnCl6 GGA-PBE optimized geometry; values from VASP
&SYSTEM
  ibrav = 0, nat = 16, ntyp = 3
/
ATOMIC_SPECIES
Re 186.21 Re.upf
Sn 118.71 Sn.upf
Cl 35.45 Cl.upf
CELL_PARAMETERS angstrom
5.5289 -3.9453 0.0000
5.5289 3.9453 0.0000
-0.4039 0.0000 10.0908
ATOMIC_POSITIONS angstrom
Re 2.7644 1.9726 0.0000
Re 2.5625 -1.9726 5.0454
Sn 5.2260 3.7697 7.5681
Sn 5.4279 -3.7697 2.5227
Cl 1.7277 0.2639 5.0002
Cl 3.7990 1.6353 2.0871
Cl 1.5258 -0.2639 10.0456
Cl 4.3624 1.3894 8.9636
Cl 6.0896 1.3894 6.1725
Cl 7.0568 1.6353 2.9583
Cl 3.5970 -1.6353 7.1325
Cl 4.5643 -1.3894 3.9182
Cl 6.2915 -1.3894 1.1272
Cl 9.1281 0.2639 0.0452
Cl 6.8549 -1.6353 8.0036
Cl 8.9262 -0.2639 5.0906
! ΔE_f (raw) (eV/atom): -0.735

***

# 14
! Er3P5Se12 GGA-PBE optimized geometry; values from VASP
&SYSTEM
  ibrav = 0, nat = 80, ntyp = 3
/
ATOMIC_SPECIES
Er 167.26 Er.upf
P 30.97 P.upf
Se 78.96 Se.upf
CELL_PARAMETERS angstrom
-7.9229 7.9229 7.9229
7.9229 -7.9229 7.9229
7.9229 7.9229 -7.9229
ATOMIC_POSITIONS angstrom
Er 3.9614 1.9807 0.0000
Er 7.9229 3.9614 -1.9807
Er 1.9807 0.0000 3.9614
Er 9.9036 0.0000 3.9614
Er 0.0000 3.9614 1.9807
Er 3.9614 -1.9807 7.9229
Er 3.9614 9.9036 0.0000
Er 7.9229 3.9614 5.9422
Er -1.9807 7.9229 3.9614
Er 5.9422 7.9229 3.9614
Er 0.0000 3.9614 9.9036
Er 3.9614 5.9422 7.9229
P 0.0000 0.0000 0.0000
P 3.9614 3.9614 -3.9614
P 3.9614 -3.9614 3.9614
P 7.9229 0.0000 0.0000
P 11.8843 1.9807 0.0000
P 7.9229 -3.9614 5.9422
P 5.9422 7.9229 -3.9614
P 5.9422 0.0000 3.9614
P 3.9614 5.9422 0.0000
P 7.9229 3.9614 1.9807
P -3.9614 3.9614 3.9614
P 0.0000 7.9229 0.0000
P 0.0000 0.0000 7.9229
P 3.9614 3.9614 3.9614
P 0.0000 3.9614 5.9422
P 3.9614 1.9807 7.9229
P 1.9807 7.9229 3.9614
P 1.9807 0.0000 11.8843
P 0.0000 11.8843 1.9807
P -3.9614 5.9422 7.9229
Se 2.3892 -0.3456 0.9430
Se 9.4951 4.9045 -4.3071
Se 10.3121 0.3456 0.9430
Se 9.4951 -3.0184 4.3071
Se 7.5773 -0.9430 2.3892
Se 12.2299 -1.5722 3.0184
Se 0.9430 2.3892 -0.3456
Se 10.9413 3.6158 -1.5722
Se 4.9045 4.3071 -1.5722
Se 6.9799 2.3892 0.3456
Se -0.3456 0.9430 2.3892
Se 4.3071 -1.5722 4.9045
Se 7.5773 6.9799 -2.3892
Se 4.3071 1.5722 3.0184
Se 4.9045 -4.3071 9.4951
Se 6.9799 -2.3892 7.5773
Se 3.0184 4.3071 1.5722
Se 8.8659 5.5337 0.3456
Se 4.3071 9.4951 -3.0184
Se 7.5773 0.9430 5.5337
Se 2.3892 7.5773 -0.9430
Se 9.4951 3.0184 3.6158
Se 1.5722 3.0184 4.3071
Se 2.3892 0.3456 6.9799
Se 5.5337 7.5773 0.9430
Se 6.3507 4.9045 3.6158
Se -1.5722 4.9045 4.3071
Se 5.5337 0.3456 8.8659
Se 0.3456 6.9799 2.3892
Se 3.6158 -1.5722 10.9413
Se -0.9430 2.3892 7.5773
Se 4.9045 3.6158 6.3507
Se 0.9430 10.3121 0.3456
Se 3.0184 12.2299 -1.5722
Se 3.6158 6.3507 4.9045
Se 0.3456 0.9430 10.3121
Se 3.6158 9.4951 3.0184
Se 8.2685 6.9799 5.5337
Se 0.9430 5.5337 7.5773
Se 3.0184 3.6158 9.4951
Se -3.0184 4.3071 9.4951
Se 6.9799 5.5337 8.2685
Se -4.3071 9.4951 4.9045
Se 0.3456 8.8659 5.5337
Se -1.5722 10.9413 3.6158
Se -2.3892 7.5773 6.9799
Se -1.5722 3.0184 12.2299
Se 5.5337 8.2685 6.9799
! ΔE_f (raw) (eV/atom): -0.499

***

# 15
! PuTiZn2 GGA-PBE optimized geometry; values from VASP
&SYSTEM
  ibrav = 0, nat = 4, ntyp = 3
/
ATOMIC_SPECIES
Pu 244.00 Pu.upf
Ti 47.87 Ti.upf
Zn 65.41 Zn.upf
CELL_PARAMETERS angstrom
5.1582 0.0000 0.0000
0.0000 5.1582 0.0000
0.0000 0.0000 2.8143
ATOMIC_POSITIONS angstrom
Pu 0.0000 0.0000 0.0000
Ti 2.5791 2.5791 0.0000
Zn 0.0000 2.5791 1.4071
Zn 2.5791 0.0000 1.4071
! Formation enthalpy at 0 K (meV/atom): 26

***

# 16
! Ce2PaN4 GGA-PBE optimized geometry; values from VASP
&SYSTEM
  ibrav = 0, nat = 14, ntyp = 3
/
ATOMIC_SPECIES
Ce 140.12 Ce.upf
Pa 231.04 Pa.upf
N 14.01 N.upf
CELL_PARAMETERS angstrom
5.9326 0.0000 0.0000
0.0000 10.3116 0.0000
0.0000 0.0000 3.5810
ATOMIC_POSITIONS angstrom
Ce 0.2935 1.7914 0.0000
Ce 2.6728 6.9472 0.0000
Ce 3.2598 3.3645 0.0000
Ce 5.6391 8.5203 0.0000
Pa 0.0000 5.1558 1.7905
Pa 2.9663 0.0000 1.7905
N 0.9735 7.1950 1.7905
N 1.4446 4.8187 0.0000
N 1.5217 9.9745 0.0000
N 1.9928 2.0391 1.7905
N 3.9398 8.2725 1.7905
N 4.4109 0.3371 0.0000
N 4.4880 5.4929 0.0000
N 4.9591 3.1167 1.7905
! ΔE_f (raw) (eV/atom): -1.566

***

# 17
! Ir2AuSe GGA-PBE optimized geometry; values from VASP
&SYSTEM
  ibrav = 0, nat = 4, ntyp = 3
/
ATOMIC_SPECIES
Ir 192.22 Ir.upf
Au 196.97 Au.upf
Se 78.96 Se.upf
CELL_PARAMETERS angstrom
0.0000 3.2044 3.2044
3.2044 0.0000 3.2044
3.2044 3.2044 0.0000
ATOMIC_POSITIONS angstrom
Ir 0.0000 0.0000 0.0000
Ir 1.6022 1.6022 1.6022
Au 4.8066 4.8066 4.8066
Se 3.2044 3.2044 3.2044
! ΔE_f (raw) (eV/atom): 0.706

***

# 18
! Mg4CoAu GGA-PBE optimized geometry; values from VASP
&SYSTEM
  ibrav = 0, nat = 6, ntyp = 3
/
ATOMIC_SPECIES
Mg 24.30 Mg.upf
Co 58.93 Co.upf
Au 196.97 Au.upf
CELL_PARAMETERS angstrom
0.0000 3.8481 3.8481
3.8481 0.0000 3.8481
3.8481 3.8481 0.0000
ATOMIC_POSITIONS angstrom
Mg 0.9631 0.9631 0.9631
Mg 2.8850 2.8850 0.9631
Mg 2.8850 0.9631 2.8850
Mg 0.9631 2.8850 2.8850
Co 3.8481 3.8481 3.8481
Au 5.7722 5.7722 5.7722
! Formation enthalpy at 0 K (meV/atom): 338

***

# 19
! CeAlTc2 GGA-PBE optimized geometry; values from VASP
&SYSTEM
  ibrav = 0, nat = 4, ntyp = 3
/
ATOMIC_SPECIES
Ce 140.12 Ce.upf
Al 26.98 Al.upf
Tc 98.00 Tc.upf
CELL_PARAMETERS angstrom
3.3176 0.0000 0.0000
0.0000 3.3176 0.0000
0.0000 0.0000 6.2236
ATOMIC_POSITIONS angstrom
Ce 0.0000 0.0000 0.0000
Al 0.0000 0.0000 3.1118
Tc 1.6588 1.6588 1.7044
Tc 1.6588 1.6588 4.5192
! Formation enthalpy at 0 K (meV/atom): -59

***

# 20
! LaHgPd GGA-PBE optimized geometry; values from VASP
&SYSTEM
  ibrav = 0, nat = 9, ntyp = 3
/
ATOMIC_SPECIES
La 138.91 La.upf
Hg 200.59 Hg.upf
Pd 106.42 Pd.upf
CELL_PARAMETERS angstrom
7.8553 0.0000 0.0000
-3.9277 6.8029 0.0000
0.0000 0.0000 4.0751
ATOMIC_POSITIONS angstrom
La -2.3502 4.0706 0.0000
La 1.5775 2.7323 0.0000
La 4.7003 0.0000 0.0000
Hg -1.0165 1.7607 2.0375
Hg 2.0331 0.0000 2.0375
Hg 2.9111 5.0422 2.0375
Pd 0.0000 0.0000 0.0000
Pd 0.0000 4.5353 2.0375
Pd 3.9277 2.2676 2.0375
! Formation enthalpy at 0 K (meV/atom): -728

***

| no. | total moment (μB/f.u.) |
| --- | --- |
| 1 | 0.00 |
| 2 | 0.00 |
| 3 | 0.00 |
| 4 | 0.00 |
| 5 | 0.00 |
| 6 | 4.05 |
| 7 | 0.00 |
| 8 | 1.07 |
| 9 | 1.59 |
| 10 | 0.00 |
| 11 | 0.00 |
| 12 | 2.00 |
| 13 | 3.00 |
| 14 | 0.00 |
| 15 | 5.22 |
| 16 | 1.07 |
| 17 | 0.00 |
| 18 | 1.22 |
| 19 | 0.00 |
| 20 | 0.00 |